A plane-wave DFT calculation with PBEsol was carried out for a relaxed structure of LiCdMo2.

- Crystal system: orthorhombic
- Formation energy from the elements: 0.319 eV per atom

Unit cell a=3.3344 b=3.9397 c=5.3541 alpha=111.59 beta=108.14 gamma=90.00
Element x y z (fractional)
1 Cd 0.5000 0.0000 0.0000
2 Li 0.0000 0.5000 0.0000
3 Mo 0.7471 0.7471 0.4942
4 Mo 0.2529 0.2529 0.5058